No. 1
# KNa2NpBr8 (GGA-PBE, optimized geometry)
# - energy (eV/atom) = -3.798
# - calculated density (Mg/m³) = 3.42
data_KNa2NpBr8
_chemical_formula_sum 'K1 Na2 Np1 Br8'
_cell_length_a 6.953
_cell_length_b 7.117
_cell_length_c 9.586
_cell_angle_alpha 82.96
_cell_angle_beta 82.65
_cell_angle_gamma 86.99
_space_group_name_H-M_alt 'P -1'
_space_group_IT_number 2
loop_
_space_group_symop_operation_xyz
'x,y,z'
'-x,-y,-z'
loop_
_atom_site_label
_atom_site_type_symbol
_atom_site_fract_x
_atom_site_fract_y
_atom_site_fract_z
K1 K 0.000 0.000 0.000
Na1 Na 0.414 0.441 0.198
Np1 Np 0.000 0.000 0.500
Br1 Br 0.189 0.794 0.699
Br2 Br 0.241 0.287 0.493
Br3 Br 0.245 0.854 0.295
Br4 Br 0.301 0.325 0.954

---

No. 2
# ErSc3Pd6 (GGA-PBE, optimized geometry)
# - energy relative to the elements (meV per atom) = -885
# - calculated density (Mg/m³) = 8.71
data_ErSc3Pd6
_chemical_formula_sum 'Er2 Sc6 Pd12'
_cell_length_a 8.485
_cell_length_b 4.424
_cell_length_c 9.664
_cell_angle_alpha 90.00
_cell_angle_beta 98.44
_cell_angle_gamma 90.00
_space_group_name_H-M_alt 'P 1 21/m 1'
_space_group_IT_number 11
loop_
_space_group_symop_operation_xyz
'x,y,z'
'-x,-y,-z'
'-x,y+1/2,-z'
'x,-y+1/2,z'
loop_
_atom_site_label
_atom_site_type_symbol
_atom_site_fract_x
_atom_site_fract_y
_atom_site_fract_z
Er1 Er 0.063 0.250 0.375
Sc1 Sc 0.246 0.250 0.040
Sc2 Sc 0.341 0.750 0.814
Sc3 Sc 0.448 0.250 0.606
Pd1 Pd 0.064 0.750 0.918
Pd2 Pd 0.159 0.250 0.725
Pd3 Pd 0.167 0.750 0.211
Pd4 Pd 0.258 0.750 0.519
Pd5 Pd 0.386 0.250 0.315
Pd6 Pd 0.469 0.750 0.098

---

No. 3
# DyMgAgSn (GGA-PBE, optimized geometry)
# - energy relative to the elements (meV per atom) = -392
# - calculated density (Mg/m³) = 7.42
data_DyMgAgSn
_chemical_formula_sum 'Dy4 Mg4 Ag4 Sn4'
_cell_length_a 7.179
_cell_length_b 7.179
_cell_length_c 7.179
_cell_angle_alpha 90.00
_cell_angle_beta 90.00
_cell_angle_gamma 90.00
_space_group_name_H-M_alt 'F -4 3 m'
_space_group_IT_number 216
_space_group_name_Hall 'F -4 2 3'
loop_
_atom_site_label
_atom_site_type_symbol
_atom_site_fract_x
_atom_site_fract_y
_atom_site_fract_z
Dy1 Dy 0.000 0.000 0.000
Mg1 Mg 0.000 0.000 0.500
Ag1 Ag 0.250 0.250 0.750
Sn1 Sn 0.250 0.250 0.250

---

No. 4
# Nd5Ho2Ru4 (GGA-PBE, optimized geometry)
# - energy relative to the elements (meV per atom) = -161
# - calculated density (Mg/m³) = 7.97
data_Nd5Ho2Ru4
_chemical_formula_sum 'Nd10 Ho4 Ru8'
_cell_length_a 22.964
_cell_length_b 4.273
_cell_length_c 6.319
_cell_angle_alpha 90.00
_cell_angle_beta 102.03
_cell_angle_gamma 90.00
_space_group_name_H-M_alt 'C 1 2/m 1'
_space_group_IT_number 12
loop_
_space_group_symop_operation_xyz
'x,y,z'
'-x,-y,-z'
'-x,y,-z'
'x,-y,z'
'x+1/2,y+1/2,z'
'-x+1/2,-y+1/2,-z'
'-x+1/2,y+1/2,-z'
'x+1/2,-y+1/2,z'
loop_
_atom_site_label
_atom_site_type_symbol
_atom_site_fract_x
_atom_site_fract_y
_atom_site_fract_z
Nd1 Nd 0.000 0.000 0.000
Nd2 Nd 0.124 0.500 0.106
Nd3 Nd 0.228 0.500 0.736
Ho1 Ho 0.078 0.000 0.566
Ru1 Ru 0.010 0.500 0.314
Ru2 Ru 0.172 0.000 0.912

---

No. 5
# BaMgCd2Au (GGA-PBE, optimized geometry)
# - energy relative to the elements (meV per atom) = -256
# - ΔE to the lowest computed polymorph (eV/atom) = 0.155
# - calculated density (Mg/m³) = 6.43
data_BaMgCd2Au
_chemical_formula_sum 'Ba1 Mg1 Cd2 Au1'
_cell_length_a 5.389
_cell_length_b 5.389
_cell_length_c 5.190
_cell_angle_alpha 90.00
_cell_angle_beta 90.00
_cell_angle_gamma 90.00
_space_group_name_H-M_alt 'P 4/m m m'
_space_group_IT_number 123
_space_group_name_Hall '-P 4 2'
loop_
_atom_site_label
_atom_site_type_symbol
_atom_site_fract_x
_atom_site_fract_y
_atom_site_fract_z
Ba1 Ba 0.000 0.000 0.000
Mg1 Mg 0.500 0.500 0.000
Cd1 Cd 0.000 0.500 0.500
Au1 Au 0.500 0.500 0.500

---

No. 6
# Tb8DyAl6 (GGA-PBE, optimized geometry)
# - energy relative to the elements (meV per atom) = -163
# - calculated density (Mg/m³) = 6.44
data_Tb8DyAl6
_chemical_formula_sum 'Tb24 Dy3 Al18'
_cell_length_a 8.6958
_cell_length_b 8.6958
_cell_length_c 18.8500
_cell_angle_alpha 90.00
_cell_angle_beta 90.00
_cell_angle_gamma 120.00
_space_group_name_H-M_alt 'R -3'
_space_group_IT_number 148
_space_group_name_Hall '-R 3'
loop_
_atom_site_label
_atom_site_type_symbol
_atom_site_fract_x
_atom_site_fract_y
_atom_site_fract_z
Tb1 Tb 0.0000 0.0000 0.1664
Tb2 Tb 0.0000 0.3333 0.0506
Dy1 Dy 0.0000 0.0000 0.5000
Al1 Al 0.9999 0.3326 0.5526

---

What did the fifth record say?
# BaMgCd2Au (GGA-PBE, optimized geometry)
# - energy relative to the elements (meV per atom) = -256
# - ΔE to the lowest computed polymorph (eV/atom) = 0.155
# - calculated density (Mg/m³) = 6.43
data_BaMgCd2Au
_chemical_formula_sum 'Ba1 Mg1 Cd2 Au1'
_cell_length_a 5.389
_cell_length_b 5.389
_cell_length_c 5.190
_cell_angle_alpha 90.00
_cell_angle_beta 90.00
_cell_angle_gamma 90.00
_space_group_name_H-M_alt 'P 4/m m m'
_space_group_IT_number 123
_space_group_name_Hall '-P 4 2'
loop_
_atom_site_label
_atom_site_type_symbol
_atom_site_fract_x
_atom_site_fract_y
_atom_site_fract_z
Ba1 Ba 0.000 0.000 0.000
Mg1 Mg 0.500 0.500 0.000
Cd1 Cd 0.000 0.500 0.500
Au1 Au 0.500 0.500 0.500